[1]
GaCo2Ru2: relaxed, GGA-PBE.

The value obtained for the formation energy from the elements is 42 kJ per mole of atoms. The density of states at the Fermi level is 0.981 states/eV/atom. The value obtained for the relative energy among the computed polymorphs is 0.95 eV/f.u. The calculation puts the volume at 14.17 Å³/atom. The electronic total energy comes out at -6.723 eV/atom.

The structure belongs to space group I4/mmm (No. 139); the cell edges are 3.493, 3.493 and 11.612 Å and the angles 90.00°, 90.00° and 90.00°. The distinct sites, in fractional coordinates, are Ga at (0.000, 0.000, 0.000), Co at (0.000, 0.000, 0.405) and Ru at (0.000, 0.500, 0.250).

[2]
CsRb2InBi2: relaxed, GGA-PBE.

The value obtained for the formation energy from the elements is -33 kJ per mole of atoms. The density of states at the Fermi level is 0.544 states/eV/atom. The calculation puts the volume at 50.11 Å³/atom. The electronic total energy comes out at -2.561 eV/atom.

The structure belongs to space group Ibam (No. 72); the cell edges are 9.594, 15.657 and 8.007 Å and the angles 90.00°, 90.00° and 90.00°. The distinct sites, in fractional coordinates, are Cs at (0.000, 0.000, 0.250), Rb at (0.178, 0.323, 0.000), In at (0.000, 0.500, 0.250) and Bi at (0.184, 0.405, 0.500).

[3]
CdIn2Ga: relaxed, GGA-PBE.

The value obtained for the formation energy from the elements is 5 kJ per mole of atoms. The density of states at the Fermi level is 0.412 states/eV/atom. The calculation puts the volume at 24.46 Å³/atom. The electronic total energy comes out at -2.301 eV/atom.

The structure belongs to space group P3m1 (No. 156); the cell edges are 3.2283, 3.2283 and 10.8407 Å and the angles 90.00°, 90.00° and 120.00°. The distinct sites, in fractional coordinates, are Cd at (0.0000, 0.0000, 0.0000), In at (0.0000, 0.0000, 0.7229), In at (0.6667, 0.3333, 0.2500) and Ga at (0.3333, 0.6667, 0.4886).